# Y6Zn23 PBE optimized geometry
data_Y6Zn23
_chemical_formula_sum 'Y6 Zn23'
_cell_length_a 8.942
_cell_length_b 8.942
_cell_length_c 8.942
_cell_angle_alpha 60.00
_cell_angle_beta 60.00
_cell_angle_gamma 60.00
_space_group_name_H-M_alt 'P 1'
_space_group_IT_number 1
loop_
_space_group_symop_operation_xyz
'x,y,z'
loop_
_atom_site_label
_atom_site_type_symbol
_atom_site_fract_x
_atom_site_fract_y
_atom_site_fract_z
Y1 Y 0.206 0.206 0.794
Y2 Y 0.206 0.794 0.206
Y3 Y 0.206 0.794 0.794
Y4 Y 0.794 0.206 0.206
Y5 Y 0.794 0.206 0.794
Y6 Y 0.794 0.794 0.206
Zn1 Zn 0.000 0.000 0.500
Zn2 Zn 0.000 0.500 0.000
Zn3 Zn 0.000 0.500 0.500
Zn4 Zn 0.130 0.623 0.623
Zn5 Zn 0.171 0.171 0.171
Zn6 Zn 0.171 0.171 0.488
Zn7 Zn 0.171 0.488 0.171
Zn8 Zn 0.377 0.377 0.377
Zn9 Zn 0.377 0.377 0.870
Zn10 Zn 0.377 0.870 0.377
Zn11 Zn 0.488 0.171 0.171
Zn12 Zn 0.500 0.000 0.000
Zn13 Zn 0.500 0.000 0.500
Zn14 Zn 0.500 0.500 0.000
Zn15 Zn 0.500 0.500 0.500
Zn16 Zn 0.512 0.829 0.829
Zn17 Zn 0.623 0.130 0.623
Zn18 Zn 0.623 0.623 0.130
Zn19 Zn 0.623 0.623 0.623
Zn20 Zn 0.829 0.512 0.829
Zn21 Zn 0.829 0.829 0.512
Zn22 Zn 0.829 0.829 0.829
Zn23 Zn 0.870 0.377 0.377
# **Energy of formation from the pure elements**: -895 kJ/mol of formula units
# **Calculated density**: 6.69 g/cm³

=====

# YZn13 PBE optimized geometry
data_YZn13
_chemical_formula_sum 'Y1 Zn13'
_cell_length_a 6.865
_cell_length_b 6.865
_cell_length_c 5.595
_cell_angle_alpha 96.90
_cell_angle_beta 96.90
_cell_angle_gamma 62.85
_space_group_name_H-M_alt 'P 1'
_space_group_IT_number 1
loop_
_space_group_symop_operation_xyz
'x,y,z'
loop_
_atom_site_label
_atom_site_type_symbol
_atom_site_fract_x
_atom_site_fract_y
_atom_site_fract_z
Y1 Y 0.000 0.000 0.000
Zn1 Zn 0.000 0.000 0.500
Zn2 Zn 0.015 0.643 0.660
Zn3 Zn 0.194 0.557 0.201
Zn4 Zn 0.229 0.229 0.825
Zn5 Zn 0.357 0.985 0.340
Zn6 Zn 0.437 0.437 0.724
Zn7 Zn 0.443 0.806 0.799
Zn8 Zn 0.557 0.194 0.201
Zn9 Zn 0.563 0.563 0.276
Zn10 Zn 0.643 0.015 0.660
Zn11 Zn 0.771 0.771 0.175
Zn12 Zn 0.806 0.443 0.799
Zn13 Zn 0.985 0.357 0.340
# **Energy of formation from the pure elements**: 37 kJ/mol of formula units
# **Calculated density**: 6.71 g/cm³

=====

# YZn PBE optimized geometry
data_YZn
_chemical_formula_sum 'Y4 Zn4'
_cell_length_a 6.395
_cell_length_b 5.460
_cell_length_c 5.447
_cell_angle_alpha 90.00
_cell_angle_beta 90.00
_cell_angle_gamma 90.00
_space_group_name_H-M_alt 'P 1'
_space_group_IT_number 1
loop_
_space_group_symop_operation_xyz
'x,y,z'
loop_
_atom_site_label
_atom_site_type_symbol
_atom_site_fract_x
_atom_site_fract_y
_atom_site_fract_z
Y1 Y 0.169 0.007 0.250
Y2 Y 0.169 0.493 0.750
Y3 Y 0.831 0.507 0.250
Y4 Y 0.831 0.993 0.750
Zn1 Zn 0.367 0.510 0.250
Zn2 Zn 0.367 0.990 0.750
Zn3 Zn 0.633 0.010 0.250
Zn4 Zn 0.633 0.490 0.750
# **Energy of formation from the pure elements**: -29 kJ/mol of formula units
# **Calculated density**: 5.39 g/cm³

=====

# YZn PBE optimized geometry
data_YZn
_chemical_formula_sum 'Y1 Zn1'
_cell_length_a 3.568
_cell_length_b 3.568
_cell_length_c 3.568
_cell_angle_alpha 90.00
_cell_angle_beta 90.00
_cell_angle_gamma 90.00
_space_group_name_H-M_alt 'P 1'
_space_group_IT_number 1
loop_
_space_group_symop_operation_xyz
'x,y,z'
loop_
_atom_site_label
_atom_site_type_symbol
_atom_site_fract_x
_atom_site_fract_y
_atom_site_fract_z
Y1 Y 0.000 0.000 0.000
Zn1 Zn 0.500 0.500 0.500
# **Energy of formation from the pure elements**: -70 kJ/mol of formula units
# **Calculated density**: 5.64 g/cm³

=====

# YZn PBE optimized geometry
data_YZn
_chemical_formula_sum 'Y6 Zn6'
_cell_length_a 4.818
_cell_length_b 9.213
_cell_length_c 6.246
_cell_angle_alpha 90.00
_cell_angle_beta 90.00
_cell_angle_gamma 90.00
_space_group_name_H-M_alt 'P 1'
_space_group_IT_number 1
loop_
_space_group_symop_operation_xyz
'x,y,z'
loop_
_atom_site_label
_atom_site_type_symbol
_atom_site_fract_x
_atom_site_fract_y
_atom_site_fract_z
Y1 Y 0.000 0.028 0.000
Y2 Y 0.000 0.351 0.677
Y3 Y 0.000 0.649 0.177
Y4 Y 0.000 0.972 0.500
Y5 Y 0.500 0.214 0.290
Y6 Y 0.500 0.786 0.790
Zn1 Zn 0.000 0.342 0.161
Zn2 Zn 0.000 0.658 0.661
Zn3 Zn 0.500 0.138 0.756
Zn4 Zn 0.500 0.467 0.960
Zn5 Zn 0.500 0.533 0.460
Zn6 Zn 0.500 0.862 0.256
# **Energy of formation from the pure elements**: -45 kJ/mol of formula units
# **Calculated density**: 5.55 g/cm³

=====

# YZn PBE optimized geometry
data_YZn
_chemical_formula_sum 'Y8 Zn8'
_cell_length_a 7.160
_cell_length_b 7.160
_cell_length_c 7.160
_cell_angle_alpha 90.00
_cell_angle_beta 90.00
_cell_angle_gamma 90.00
_space_group_name_H-M_alt 'P 1'
_space_group_IT_number 1
loop_
_space_group_symop_operation_xyz
'x,y,z'
loop_
_atom_site_label
_atom_site_type_symbol
_atom_site_fract_x
_atom_site_fract_y
_atom_site_fract_z
Y1 Y 0.125 0.125 0.125
Y2 Y 0.125 0.625 0.625
Y3 Y 0.375 0.375 0.875
Y4 Y 0.375 0.875 0.375
Y5 Y 0.625 0.125 0.625
Y6 Y 0.625 0.625 0.125
Y7 Y 0.875 0.375 0.375
Y8 Y 0.875 0.875 0.875
Zn1 Zn 0.125 0.125 0.625
Zn2 Zn 0.125 0.625 0.125
Zn3 Zn 0.375 0.375 0.375
Zn4 Zn 0.375 0.875 0.875
Zn5 Zn 0.625 0.125 0.125
Zn6 Zn 0.625 0.625 0.625
Zn7 Zn 0.875 0.375 0.875
Zn8 Zn 0.875 0.875 0.375
# **Energy of formation from the pure elements**: 25 kJ/mol of formula units
# **Calculated density**: 5.58 g/cm³

=====

# YZn PBE optimized geometry
data_YZn
_chemical_formula_sum 'Y5 Zn5'
_cell_length_a 5.242
_cell_length_b 8.373
_cell_length_c 8.373
_cell_angle_alpha 140.93
_cell_angle_beta 90.00
_cell_angle_gamma 90.00
_space_group_name_H-M_alt 'P 1'
_space_group_IT_number 1
loop_
_space_group_symop_operation_xyz
'x,y,z'
loop_
_atom_site_label
_atom_site_type_symbol
_atom_site_fract_x
_atom_site_fract_y
_atom_site_fract_z
Y1 Y 0.000 0.000 0.000
Y2 Y 0.000 0.420 0.646
Y3 Y 0.000 0.646 0.420
Y4 Y 0.500 0.025 0.261
Y5 Y 0.500 0.261 0.025
Zn1 Zn 0.000 0.200 0.805
Zn2 Zn 0.000 0.805 0.200
Zn3 Zn 0.500 0.466 0.854
Zn4 Zn 0.500 0.651 0.651
Zn5 Zn 0.500 0.854 0.466
# **Energy of formation from the pure elements**: -20 kJ/mol of formula units
# **Calculated density**: 5.53 g/cm³

=====

# YZn6 PBE optimized geometry
data_YZn6
_chemical_formula_sum 'Y1 Zn6'
_cell_length_a 5.865
_cell_length_b 5.865
_cell_length_c 5.865
_cell_angle_alpha 60.00
_cell_angle_beta 60.00
_cell_angle_gamma 60.00
_space_group_name_H-M_alt 'P 1'
_space_group_IT_number 1
loop_
_space_group_symop_operation_xyz
'x,y,z'
loop_
_atom_site_label
_atom_site_type_symbol
_atom_site_fract_x
_atom_site_fract_y
_atom_site_fract_z
Y1 Y 0.000 0.000 0.000
Zn1 Zn 0.000 0.000 0.500
Zn2 Zn 0.000 0.500 0.000
Zn3 Zn 0.000 0.500 0.500
Zn4 Zn 0.500 0.000 0.000
Zn5 Zn 0.500 0.000 0.500
Zn6 Zn 0.500 0.500 0.000
# **Energy of formation from the pure elements**: 51 kJ/mol of formula units
# **Calculated density**: 5.60 g/cm³

=====

# YZr2 PBE optimized geometry
data_YZr2
_chemical_formula_sum 'Y2 Zr4'
_cell_length_a 6.105
_cell_length_b 6.105
_cell_length_c 6.105
_cell_angle_alpha 60.00
_cell_angle_beta 60.00
_cell_angle_gamma 60.00
_space_group_name_H-M_alt 'P 1'
_space_group_IT_number 1
loop_
_space_group_symop_operation_xyz
'x,y,z'
loop_
_atom_site_label
_atom_site_type_symbol
_atom_site_fract_x
_atom_site_fract_y
_atom_site_fract_z
Y1 Y 0.125 0.125 0.125
Y2 Y 0.875 0.875 0.875
Zr1 Zr 0.000 0.500 0.500
Zr2 Zr 0.500 0.000 0.500
Zr3 Zr 0.500 0.500 0.000
Zr4 Zr 0.500 0.500 0.500
# **Energy of formation from the pure elements**: 64 kJ/mol of formula units
# **Calculated density**: 5.60 g/cm³

=====

# YZr PBE optimized geometry
data_YZr
_chemical_formula_sum 'Y6 Zr6'
_cell_length_a 6.817
_cell_length_b 5.383
_cell_length_c 9.098
_cell_angle_alpha 90.00
_cell_angle_beta 100.85
_cell_angle_gamma 90.00
_space_group_name_H-M_alt 'P 1'
_space_group_IT_number 1
loop_
_space_group_symop_operation_xyz
'x,y,z'
loop_
_atom_site_label
_atom_site_type_symbol
_atom_site_fract_x
_atom_site_fract_y
_atom_site_fract_z
Y1 Y 0.024 0.250 0.118
Y2 Y 0.309 0.750 0.240
Y3 Y 0.465 0.750 0.880
Y4 Y 0.535 0.250 0.120
Y5 Y 0.691 0.250 0.760
Y6 Y 0.976 0.750 0.882
Zr1 Zr 0.130 0.750 0.551
Zr2 Zr 0.187 0.250 0.754
Zr3 Zr 0.355 0.250 0.459
Zr4 Zr 0.645 0.750 0.541
Zr5 Zr 0.813 0.750 0.246
Zr6 Zr 0.870 0.250 0.449
# **Excess energy over the best structure of this formula in the dataset**: 22.7 meV per atom
# **Energy of formation from the pure elements**: 13 kJ/mol of formula units
# **Calculated density**: 5.47 g/cm³

=====

# YZr2 PBE optimized geometry
data_YZr2
_chemical_formula_sum 'Y2 Zr4'
_cell_length_a 5.811
_cell_length_b 5.811
_cell_length_c 5.270
_cell_angle_alpha 90.00
_cell_angle_beta 90.00
_cell_angle_gamma 120.00
_space_group_name_H-M_alt 'P 1'
_space_group_IT_number 1
loop_
_space_group_symop_operation_xyz
'x,y,z'
loop_
_atom_site_label
_atom_site_type_symbol
_atom_site_fract_x
_atom_site_fract_y
_atom_site_fract_z
Y1 Y 0.333 0.667 0.000
Y2 Y 0.667 0.333 0.000
Zr1 Zr 0.000 0.000 0.000
Zr2 Zr 0.000 0.687 0.500
Zr3 Zr 0.313 0.313 0.500
Zr4 Zr 0.687 0.000 0.500
# **Energy of formation from the pure elements**: 20 kJ/mol of formula units
# **Calculated density**: 5.85 g/cm³

=====

Question: Among the records above, which one has the lowest energy of formation from the pure elements?
Answer: Y6Zn23